FeOs2Au: relaxed, PBEsol.

Structure (extended XYZ):
```
4
Lattice="-0.511 -1.495 -2.222 1.683 -1.938 0.918 -5.846 -3.367 3.610" Properties=species:S:1:pos:R:3 pbc="T T T"
Au -2.984 -1.719 1.842
Fe -3.850 -4.272 2.087
Os -0.008 -0.004 0.005
Os -0.756 -2.490 0.177
```

Values from the calculation:
The value obtained for the energy of formation from the pure elements is 0.283 eV/atom. The value obtained for the volume is 14.22 A^3/atom. The calculation puts the mass density at 18.5 g/cm3. Its density of states at the Fermi level is 3.764 states/eV/cell. Its energy relative to the lowest polymorph listed for this composition is 0.000 eV/atom. Its symmetry is P4mm (99).